P) Compound: ScAs2Cl
Source: Alexandria
Functional: PBE
Structure: optimized geometry

Properties
Magnetization (μB per atom): 0.00
N(E_F) (states/eV/f.u.): 1.72

Cell: 5.011 10.002 3.332 Å, 90.00 90.10 90.00°
Space group C2/m (No. 12)
Unique sites:
Sc 0.000 0.000 0.000
As 0.250 0.250 0.500
Cl 0.000 0.500 0.000

Q) Compound: ScAs2Cl
Source: Alexandria
Functional: PBE
Structure: optimized geometry

Properties
Magnetization (μB per atom): 0.00
N(E_F) (states/eV/f.u.): 2.44

Cell: 3.745 3.747 6.077 Å, 90.00 90.09 90.00°
Space group P2/m (No. 10)
Unique sites:
Sc 0.000 0.000 0.000
As 0.499 0.500 0.803
Cl 0.000 0.000 0.500

R) Compound: ScAs2Cl
Source: Alexandria
Functional: PBE
Structure: optimized geometry

Properties
Magnetization (μB per atom): 0.00
N(E_F) (states/eV/f.u.): 0.57

Cell: 4.175 3.474 7.580 Å, 90.00 92.56 90.00°
Space group Pm (No. 6)
Unique sites:
Sc 0.000 0.000 0.000
As 0.492 0.500 0.873
As 0.676 0.000 0.672
Cl 0.067 0.500 0.243

S) Compound: ScAs2Cl
Source: Alexandria
Functional: PBE
Structure: optimized geometry

Properties
Magnetization (μB per atom): 0.00

Cell: 9.644 3.486 8.110 Å, 90.00 121.68 90.00°
Space group Cm (No. 8)
Unique sites:
Sc 0.000 0.000 0.000
As 0.049 0.500 0.724
As 0.239 0.000 0.940
Cl 0.146 0.500 0.261

S) is favored, and the nearest alternative lies 2.4 kJ/mol of atoms above it.

P) Compound: ScAs2Cl
Source: Alexandria
Functional: PBE
Structure: optimized geometry

Properties
Magnetization (μB per atom): 0.00
N(E_F) (states/eV/f.u.): 2.15

Cell: 3.907 3.907 21.985 Å, 90.00 90.00 90.00°
Space group I-42d (No. 122)
Unique sites:
Sc 0.000 0.000 0.000
As 0.198 0.250 0.125
Cl 0.000 0.000 0.500

Q) Compound: ScAs2Cl
Source: Alexandria
Functional: PBE
Structure: optimized geometry

Properties
Magnetization (μB per atom): 0.00
N(E_F) (states/eV/f.u.): 1.52

Cell: 3.492 4.113 10.921 Å, 90.00 90.00 90.00°
Space group Immm (No. 71)
Unique sites:
Sc 0.000 0.000 0.000
As 0.000 0.500 0.268
Cl 0.000 0.000 0.500

R) Compound: ScAs2Cl
Source: Alexandria
Functional: PBE
Structure: optimized geometry

Properties
Magnetization (μB per atom): 0.04
N(E_F) (states/eV/f.u.): 2.77

Cell: 5.078 5.078 3.072 Å, 90.00 90.00 90.00°
Space group P4/mmm (No. 123)
Unique sites:
Sc 0.000 0.000 0.000
As 0.000 0.500 0.500
Cl 0.500 0.500 0.000

Q) is favored, and the nearest alternative lies 3.5 kJ/mol of atoms above it.

P) Compound: ScAs2Cl
Source: Alexandria
Functional: PBE
Structure: optimized geometry

Properties
Magnetization (μB per atom): 0.00

Cell: 3.610 5.108 12.936 Å, 90.00 90.00 90.00°
Space group Imm2 (No. 44)
Unique sites:
Sc 0.000 0.000 0.000
As 0.000 0.000 0.585
As 0.000 0.500 0.951
Cl 0.000 0.500 0.364

Q) Compound: ScAs2Cl
Source: Alexandria
Functional: PBE
Structure: optimized geometry

Properties
Magnetization (μB per atom): 0.00
N(E_F) (states/eV/f.u.): 3.78

Cell: 6.886 6.886 6.886 Å, 90.00 90.00 90.00°
Space group Fm-3m (No. 225)
Unique sites:
Sc 0.000 0.000 0.000
As 0.250 0.250 0.250
Cl 0.000 0.000 0.500

R) Compound: ScAs2Cl
Source: Alexandria
Functional: PBE
Structure: optimized geometry

Properties
Magnetization (μB per atom): 0.00
N(E_F) (states/eV/f.u.): 0.89

Cell: 10.489 3.474 4.712 Å, 90.00 100.46 90.00°
Space group C2/m (No. 12)
Unique sites:
Sc 0.000 0.000 0.000
As 0.230 0.500 0.173
Cl 0.000 0.500 0.500

P) is favored, and the nearest alternative lies 9.5 kJ/mol of atoms above it.

P) Compound: As2Se2Cl
Source: Alexandria
Functional: PBE
Structure: optimized geometry

Properties
Magnetization (μB per atom): 0.00
N(E_F) (states/eV/f.u.): 1.23

Cell: 3.9424 3.9424 31.3547 Å, 90.00 90.00 120.00°
Space group R-3m (No. 166, hexagonal axes)
Unique sites:
As 0.0000 0.0000 0.1055
Se 0.0000 0.0000 0.2677
Cl 0.0000 0.0000 0.5000

Q) Compound: As2Se2Cl
Source: Alexandria
Functional: PBE
Structure: optimized geometry

Properties
Magnetization (μB per atom): 0.00

Cell: 5.701 7.038 8.688 Å, 75.75 80.91 86.28°
Space group P-1 (No. 2)
Unique sites:
As 0.051 0.170 0.408
As 0.183 0.310 0.953
Se 0.112 0.022 0.183
Se 0.221 0.564 0.095
Cl 0.330 0.723 0.582

R) Compound: As2Se2Cl
Source: Alexandria
Functional: PBE
Structure: optimized geometry

Properties
Magnetization (μB per atom): 0.00
N(E_F) (states/eV/f.u.): 2.59

Cell: 8.237 8.237 3.616 Å, 90.00 90.00 90.00°
Space group P4/mbm (No. 127)
Unique sites:
As 0.219 0.281 0.000
Se 0.142 0.642 0.500
Cl 0.000 0.000 0.000

Q) is favored, and the nearest alternative lies 13.4 kJ/mol of atoms above it.

P) Compound: SnAsSe2Cl
Source: Alexandria
Functional: PBE
Structure: optimized geometry

Properties
Magnetization (μB per atom): 0.00
N(E_F) (states/eV/f.u.): 7.05

Cell: 5.248 5.248 4.726 Å, 90.00 90.00 90.00°
Space group P4/mmm (No. 123)
Unique sites:
Sn 0.000 0.000 0.000
As 0.500 0.500 0.000
Se 0.000 0.500 0.500
Cl 0.500 0.500 0.500

Q) Compound: SnAsSe2Cl
Source: Alexandria
Functional: PBE
Structure: optimized geometry

Properties
Magnetization (μB per atom): 0.11
N(E_F) (states/eV/f.u.): 6.30

Cell: 5.208 5.208 5.588 Å, 90.00 90.00 90.00°
Space group P4/mmm (No. 123)
Unique sites:
Sn 0.000 0.000 0.000
As 0.000 0.000 0.500
Se 0.000 0.500 0.000
Cl 0.500 0.500 0.500

Q) is favored, and the nearest alternative lies 5.6 kJ/mol of atoms above it.

P) Compound: SrAsSe2Cl
Source: Alexandria
Functional: PBE
Structure: optimized geometry

Properties
Magnetization (μB per atom): 0.52
N(E_F) (states/eV/f.u.): 7.96

Cell: 5.836 5.836 6.095 Å, 90.00 90.00 90.00°
Space group P4/mmm (No. 123)
Unique sites:
Sr 0.000 0.000 0.000
As 0.000 0.000 0.500
Se 0.000 0.500 0.000
Cl 0.500 0.500 0.500

Q) Compound: SrAsSe2Cl
Source: Alexandria
Functional: PBE
Structure: optimized geometry

Properties
Magnetization (μB per atom): 0.00
N(E_F) (states/eV/f.u.): 5.96

Cell: 5.351 5.351 4.745 Å, 90.00 90.00 90.00°
Space group P4/mmm (No. 123)
Unique sites:
Sr 0.000 0.000 0.000
As 0.500 0.500 0.000
Se 0.000 0.500 0.500
Cl 0.500 0.500 0.500

Q) is favored, and the nearest alternative lies 56.8 kJ/mol of atoms above it.